No. 1
Crystalline GdHoErTh at its relaxed geometry. Source: Alexandria, functional PBE.

Summary:
- ΔH_f (0 K) (kJ per mole of atoms) = 12.2

abc: 5.651 5.651 5.651
angles: 60.00 60.00 60.00
Sites, in units of the cell vectors:
Gd: 0.250 0.250 0.250
Ho: 0.500 0.500 0.500
Th: 0.750 0.750 0.750
Er: 0.000 0.000 0.000

---

No. 2
Crystalline Mn2CrReH at its relaxed geometry. Source: Alexandria, functional PBE.

Summary:
- uncorrected energy (eV/atom) = -8.693

abc: 3.675 3.675 3.711
angles: 90.00 90.00 90.00
Sites, in units of the cell vectors:
Re: 0.500 0.500 0.500
Mn: 0.000 0.500 0.000
Mn: 0.500 0.000 0.000
H: 0.000 0.000 0.000
Cr: 0.000 0.000 0.500

---

No. 3
Crystalline Tb2PrDyTm2 at its relaxed geometry. Source: Alexandria, functional PBE.

Summary:
- ΔH_f (0 K) (kJ per mole of atoms) = 26.9

abc: 3.404 6.484 17.909
angles: 90.00 90.00 90.00
Sites, in units of the cell vectors:
Tb: 0.500 0.283 0.311
Tb: 0.000 0.783 0.189
Tb: 0.500 0.717 0.689
Tb: 0.000 0.217 0.811
Pr: 0.000 0.000 0.000
Pr: 0.500 0.500 0.500
Dy: 0.500 0.500 0.000
Dy: 0.000 0.000 0.500
Tm: 0.500 0.785 0.353
Tm: 0.500 0.215 0.647
Tm: 0.000 0.715 0.853
Tm: 0.000 0.285 0.147

---

No. 4
Crystalline AcAgBiPd at its relaxed geometry. Source: Alexandria, functional PBE.

Summary:
- ΔH_f (0 K) (kJ per mole of atoms) = -47.1

abc: 5.242 5.242 5.242
angles: 60.00 60.00 60.00
Sites, in units of the cell vectors:
Ac: 0.750 0.750 0.750
Pd: 0.500 0.500 0.500
Bi: 0.250 0.250 0.250
Ag: 0.000 0.000 0.000

---

No. 5
Crystalline TaCu2W at its relaxed geometry. Source: Alexandria, functional PBE.

Summary:
- ΔH_f (0 K) (kJ per mole of atoms) = 17.1

abc: 4.245 2.635 5.399
angles: 75.55 90.00 90.00
Sites, in units of the cell vectors:
Cu: 0.000 0.189 0.001
Cu: 0.500 0.064 0.243
Ta: 0.000 0.445 0.480
W: 0.500 0.802 0.776

---

No. 6
Crystalline KNiH2 at its relaxed geometry. Source: Alexandria, functional PBE.

Summary:
- uncorrected energy (eV/atom) = -2.465

abc: 4.219 4.219 4.219
angles: 60.00 60.00 60.00
Sites, in units of the cell vectors:
Ni: 0.500 0.500 0.500
K: 0.000 0.000 0.000
H: 0.250 0.250 0.250
H: 0.750 0.750 0.750

---

No. 7
Crystalline LaHo5Al3 at its relaxed geometry. Source: Alexandria, functional PBE.

Summary:
- ΔH_f (0 K) (kJ per mole of atoms) = -24.3

abc: 6.664 9.118 9.118
angles: 120.00 90.00 90.00
Sites, in units of the cell vectors:
La: 0.000 0.000 0.000
La: 0.500 0.000 0.000
Ho: 0.000 0.667 0.333
Ho: 0.500 0.333 0.667
Ho: 0.000 0.333 0.667
Ho: 0.500 0.667 0.333
Ho: 0.750 0.668 0.668
Ho: 0.750 0.000 0.332
Ho: 0.750 0.332 0.000
Ho: 0.250 0.332 0.332
Ho: 0.250 0.000 0.668
Ho: 0.250 0.668 0.000
Al: 0.750 0.341 0.341
Al: 0.750 0.000 0.659
Al: 0.750 0.659 0.000
Al: 0.250 0.659 0.659
Al: 0.250 0.000 0.341
Al: 0.250 0.341 0.000

---

No. 8
Crystalline Ho3HfAs4 at its relaxed geometry. Source: Alexandria, functional PBE.

Summary:
- ΔH_f (0 K) (kJ per mole of atoms) = -134.6

abc: 4.017 6.963 6.963
angles: 109.27 90.00 90.00
Sites, in units of the cell vectors:
As: 0.000 0.238 0.238
As: 0.500 0.756 0.244
As: 0.000 0.762 0.762
As: 0.500 0.244 0.756
Hf: 0.500 0.000 0.000
Ho: 0.000 0.000 0.500
Ho: 0.500 0.500 0.500
Ho: 0.000 0.500 0.000